ScIrAu2 PBE optimized geometry; total magnetic moment = 0.00 μB/f.u.; calculated formation energy = -220 meV/atom; VASP energy = -45.3 eV/cell
1.0
-1.939 1.939 9.973
1.939 -1.939 9.973
1.939 1.939 -9.973
Sc Ir Au
2 2 4
Direct
0.000 0.000 0.000
0.750 0.250 0.500
0.250 0.750 0.500
0.500 0.500 0.000
0.133 0.625 0.008
0.375 0.383 0.508
0.617 0.125 0.992
0.875 0.867 0.492

---

Sc5IrAu4 PBE optimized geometry; total magnetic moment = 0.00 μB/f.u.; calculated formation energy = -840 meV/atom; VASP energy = -62.0 eV/cell
1.0
3.370 0.000 0.000
0.000 3.370 0.000
0.000 0.000 16.878
Sc Ir Au
5 1 4
Direct
0.000 0.000 0.000
0.000 0.000 0.205
0.000 0.000 0.409
0.000 0.000 0.591
0.000 0.000 0.795
0.500 0.500 0.500
0.500 0.500 0.101
0.500 0.500 0.305
0.500 0.500 0.695
0.500 0.500 0.899

---

ScIrAu PBE optimized geometry; energy above the most stable polymorph in this dataset = 0.257 eV per atom; total magnetic moment = 0.00 μB/f.u.; calculated formation energy = -279 meV/atom; VASP energy = -19.3 eV/cell
1.0
0.000 3.148 3.148
3.148 0.000 3.148
3.148 3.148 0.000
Sc Ir Au
1 1 1
Direct
0.000 0.000 0.000
0.250 0.250 0.250
0.500 0.500 0.500